A plane-wave DFT calculation with PBE was carried out for a geometry-optimized Al2ZnNi structure.

abc: 4.5706 4.5706 4.5706
angles: 129.90 129.85 73.60
With the nearest neighbours (Å) after each atom.
Positions (direct):
Zn 0.2500 0.7500 0.5000  8 Al 2.66, 4 Ni 2.74
Al 0.9998 0.9998 0.0000  4 Ni 2.66-2.67, 4 Zn 2.66, 4 Al 2.74
Ni 0.7500 0.2500 0.5000  8 Al 2.66-2.67, 4 Zn 2.74
Al 0.5002 0.5002 0.0000  4 Ni 2.66-2.67, 4 Zn 2.66, 4 Al 2.74

Summary:
Energy of formation from the pure elements, eV per atom: -0.2206
Symmetry: No. 139